Below is a relaxed structure of Sm6TmTl5, with properties calculated at the PBE level.

Cell: 10.4131 11.4542 6.3822 Å, 90.00 102.63 90.00°
Last column: nearest neighbours and their distance in Å.
Space group C2/m (No. 12)
Unique sites:
Sm 0.2208 0.0000 0.2174 [4 per cell]  5 Tl 3.22-3.45, 1 Tm 3.48
Sm 0.2265 0.1788 0.7335 [8 per cell]  5 Tl 3.21-3.52, 1 Sm 3.52
Tm 0.0000 0.5000 0.0000 [2 per cell]  6 Tl 3.37-3.56, 6 Sm 3.48-3.62
Tl 0.0000 0.0000 0.5000 [2 per cell]  6 Sm 3.22-3.23
Tl 0.0000 0.2060 0.0000 [4 per cell]  6 Sm 3.21-3.37, 1 Tm 3.37
Tl 0.0000 0.3630 0.5000 [4 per cell]  1 Tl 3.14, 4 Sm 3.27-3.45

**M_tot**: 0.00 μB per cell
**Mass density**: 9.4 g cm⁻³
**E_form**: -0.19 eV per atom